(1)
# SrLa2Be | Alexandria via LeMat-Bulk | PBE | relaxed
data_SrLa2Be
_cell_length_a 3.729
_cell_length_b 3.710
_cell_length_c 9.429
_cell_angle_alpha 90.00
_cell_angle_beta 90.01
_cell_angle_gamma 90.00
_space_group_name_H-M_alt 'P 1'
_space_group_IT_number 1
_space_group_name_Hall 'P 1'
loop_
_atom_site_label
_atom_site_fract_x
_atom_site_fract_y
_atom_site_fract_z
Sr1 0.000 0.000 0.000
La1 0.499 0.500 0.345
La2 0.999 0.000 0.623
Be1 0.500 0.500 0.791
# Space-group type ... Pm
# Formation enthalpy at 0 K ... 0.22 eV/atom
# D(E_F) ... 4.88 states/eV/cell
# V ... 32.62 A^3/atom

(2)
# ZnTe2Au | Alexandria via LeMat-Bulk | PBE | relaxed
data_ZnTe2Au
_cell_length_a 5.088
_cell_length_b 5.088
_cell_length_c 5.028
_cell_angle_alpha 110.83
_cell_angle_beta 110.83
_cell_angle_gamma 105.87
_space_group_name_H-M_alt 'P 1'
_space_group_IT_number 1
_space_group_name_Hall 'P 1'
loop_
_atom_site_label
_atom_site_fract_x
_atom_site_fract_y
_atom_site_fract_z
Zn1 0.000 0.000 0.000
Te1 0.000 0.500 0.500
Te2 0.500 0.000 0.500
Au1 0.500 0.500 0.000
# Space-group type ... C2/m
# Formation energy (no corrections) ... -0.027 eV/atom
# D(E_F) ... 1.43 states/eV/cell
# V ... 25.28 A^3/atom

(3)
# Sr3Cd3Ga2 | Alexandria via LeMat-Bulk | PBE | relaxed
data_Sr3Cd3Ga2
_cell_length_a 6.318
_cell_length_b 6.318
_cell_length_c 16.429
_cell_angle_alpha 90.00
_cell_angle_beta 90.00
_cell_angle_gamma 134.68
_space_group_name_H-M_alt 'P 1'
_space_group_IT_number 1
_space_group_name_Hall 'P 1'
loop_
_atom_site_label
_atom_site_fract_x
_atom_site_fract_y
_atom_site_fract_z
Sr1 0.095 0.905 0.604
Sr2 0.095 0.905 0.896
Sr3 0.384 0.616 0.750
Sr4 0.616 0.384 0.250
Sr5 0.905 0.095 0.104
Sr6 0.905 0.095 0.396
Cd1 0.323 0.677 0.250
Cd2 0.380 0.620 0.539
Cd3 0.380 0.620 0.961
Cd4 0.620 0.380 0.039
Cd5 0.620 0.380 0.461
Cd6 0.677 0.323 0.750
Ga1 0.199 0.801 0.102
Ga2 0.199 0.801 0.398
Ga3 0.801 0.199 0.602
Ga4 0.801 0.199 0.898
# Space-group type ... Cmcm
# Formation enthalpy at 0 K ... -0.37 eV/atom
# D(E_F) ... 11.01 states/eV/cell
# V ... 29.15 A^3/atom

(4)
# CsRbBa2Pt | Alexandria via LeMat-Bulk | PBE | relaxed
data_CsRbBa2Pt
_cell_length_a 6.309
_cell_length_b 6.309
_cell_length_c 7.366
_cell_angle_alpha 90.00
_cell_angle_beta 90.00
_cell_angle_gamma 90.00
_space_group_name_H-M_alt 'P 1'
_space_group_IT_number 1
_space_group_name_Hall 'P 1'
loop_
_atom_site_label
_atom_site_fract_x
_atom_site_fract_y
_atom_site_fract_z
Cs1 0.000 0.000 0.000
Rb1 0.500 0.500 0.000
Ba1 0.000 0.500 0.500
Ba2 0.500 0.000 0.500
Pt1 0.500 0.500 0.500
# Space-group type ... P4/mmm
# Formation enthalpy at 0 K ... -0.18 eV/atom
# Offset from the most stable computed form ... 14 meV/atom
# D(E_F) ... 5.25 states/eV/cell
# V ... 58.64 A^3/atom

(5)
# CaSm12Ni6 | Alexandria via LeMat-Bulk | PBE | relaxed
data_CaSm12Ni6
_cell_length_a 8.747
_cell_length_b 8.747
_cell_length_c 8.747
_cell_angle_alpha 109.47
_cell_angle_beta 109.47
_cell_angle_gamma 109.47
_space_group_name_H-M_alt 'P 1'
_space_group_IT_number 1
_space_group_name_Hall 'P 1'
loop_
_atom_site_label
_atom_site_fract_x
_atom_site_fract_y
_atom_site_fract_z
Ca1 0.000 0.000 0.000
Sm1 0.127 0.813 0.315
Sm2 0.187 0.315 0.502
Sm3 0.187 0.685 0.873
Sm4 0.315 0.127 0.813
Sm5 0.315 0.502 0.187
Sm6 0.498 0.813 0.685
Sm7 0.502 0.187 0.315
Sm8 0.685 0.498 0.813
Sm9 0.685 0.873 0.187
Sm10 0.813 0.315 0.127
Sm11 0.813 0.685 0.498
Sm12 0.873 0.187 0.685
Ni1 0.121 0.621 0.500
Ni2 0.379 0.500 0.879
Ni3 0.500 0.121 0.621
Ni4 0.500 0.879 0.379
Ni5 0.621 0.500 0.121
Ni6 0.879 0.379 0.500
# Space-group type ... Im-3
# Formation enthalpy at 0 K ... -0.20 eV/atom
# D(E_F) ... 22.18 states/eV/cell
# V ... 27.12 A^3/atom

(6)
# MnAs2RuSe | Alexandria via LeMat-Bulk | PBE | relaxed
data_MnAs2RuSe
_cell_length_a 4.537
_cell_length_b 4.537
_cell_length_c 4.654
_cell_angle_alpha 90.00
_cell_angle_beta 90.00
_cell_angle_gamma 90.00
_space_group_name_H-M_alt 'P 1'
_space_group_IT_number 1
_space_group_name_Hall 'P 1'
loop_
_atom_site_label
_atom_site_fract_x
_atom_site_fract_y
_atom_site_fract_z
Mn1 0.000 0.000 0.000
As1 0.000 0.500 0.000
As2 0.500 0.000 0.000
Ru1 0.500 0.500 0.500
Se1 0.000 0.000 0.500
# Space-group type ... P4/mmm
# Formation energy (no corrections) ... 0.794 eV/atom
# Offset from the most stable computed form ... 0 meV/atom
# D(E_F) ... 3.96 states/eV/cell
# V ... 19.16 A^3/atom